(1)
Pm3Pr2Pt4, relaxed, DFT PBE; calculated formation energy = -0.913 eV/atom
1.0
3.8373 -7.8803 0.0000
3.8373 7.8803 0.0000
0.0000 0.0000 7.9642
Pm Pr Pt
6 4 8
Direct
0.0000 0.0000 0.0000
0.0431 0.4569 0.2500
0.4569 0.0431 0.7500
0.5000 0.5000 0.5000
0.5431 0.9569 0.2500
0.9569 0.5431 0.7500
0.1018 0.8982 0.4006
0.3982 0.6018 0.9006
0.6018 0.3982 0.0994
0.8982 0.1018 0.5994
0.1991 0.8009 0.0493
0.2246 0.2754 0.2500
0.2754 0.2246 0.7500
0.3009 0.6991 0.5493
0.6991 0.3009 0.4507
0.7246 0.7754 0.2500
0.7754 0.7246 0.7500
0.8009 0.1991 0.9507

=====

(2)
Pm2PrPt, relaxed, DFT PBE; calculated formation energy = -0.630 eV/atom
1.0
7.2616 0.0000 0.0000
0.0000 9.9898 0.0000
0.0000 0.0000 6.6780
Pm Pr Pt
8 4 4
Direct
0.1780 0.0621 0.1722
0.1780 0.4379 0.1722
0.3220 0.5621 0.6722
0.3220 0.9379 0.6722
0.6780 0.0621 0.3278
0.6780 0.4379 0.3278
0.8220 0.5621 0.8278
0.8220 0.9379 0.8278
0.0257 0.2500 0.6383
0.4743 0.7500 0.1383
0.5257 0.2500 0.8617
0.9743 0.7500 0.3617
0.1160 0.7500 0.9307
0.3840 0.2500 0.4307
0.6160 0.7500 0.5693
0.8840 0.2500 0.0693

=====

(3)
PmPrPt, relaxed, DFT PBE; calculated formation energy = -0.704 eV/atom
1.0
7.1154 0.0000 0.0000
0.0000 7.1154 0.0000
0.0000 0.0000 7.1154
Pm Pr Pt
4 4 4
Direct
0.0000 0.0000 0.0000
0.0000 0.5000 0.5000
0.5000 0.0000 0.5000
0.5000 0.5000 0.0000
0.0000 0.0000 0.5000
0.0000 0.5000 0.0000
0.5000 0.0000 0.0000
0.5000 0.5000 0.5000
0.2500 0.2500 0.7500
0.2500 0.7500 0.2500
0.7500 0.2500 0.2500
0.7500 0.7500 0.7500

=====

(4)
Pm2PrPt9, relaxed, DFT PBE; calculated formation energy = -0.930 eV/atom
1.0
2.7361 1.5797 8.9128
-2.7361 1.5797 8.9128
0.0000 -3.1594 8.9128
Pm Pr Pt
2 1 9
Direct
0.1395 0.1395 0.1395
0.8605 0.8605 0.8605
0.0000 0.0000 0.0000
0.0810 0.5868 0.5868
0.3329 0.3329 0.3329
0.4132 0.4132 0.9190
0.4132 0.9190 0.4132
0.5000 0.5000 0.5000
0.5868 0.0810 0.5868
0.5868 0.5868 0.0810
0.6671 0.6671 0.6671
0.9190 0.4132 0.4132

=====

(5)
Pm8PrPt6, relaxed, DFT PBE; calculated formation energy = -0.907 eV/atom
1.0
4.2852 2.4741 6.4062
-4.2852 2.4741 6.4062
0.0000 -4.9482 6.4062
Pm Pr Pt
8 1 6
Direct
0.0532 0.3887 0.7225
0.1665 0.1665 0.1665
0.2775 0.9468 0.6113
0.3887 0.7225 0.0532
0.6113 0.2775 0.9468
0.7225 0.0532 0.3887
0.8335 0.8335 0.8335
0.9468 0.6113 0.2775
0.5000 0.5000 0.5000
0.0996 0.7694 0.4339
0.2306 0.5661 0.9004
0.4339 0.0996 0.7694
0.5661 0.9004 0.2306
0.7694 0.4339 0.0996
0.9004 0.2306 0.5661

=====

(6)
PmPrSbPt, relaxed, DFT PBE; E_form (uncorrected) = -0.869 eV per atom
1.0
7.5106 0.0000 0.0000
0.0000 7.5106 0.0000
0.0000 0.0000 7.5106
Pm Pr Sb Pt
4 4 4 4
Direct
0.0000 0.0000 0.0000
0.0000 0.5000 0.5000
0.5000 0.0000 0.5000
0.5000 0.5000 0.0000
0.0000 0.0000 0.5000
0.0000 0.5000 0.0000
0.5000 0.0000 0.0000
0.5000 0.5000 0.5000
0.2500 0.2500 0.2500
0.2500 0.7500 0.7500
0.7500 0.2500 0.7500
0.7500 0.7500 0.2500
0.2500 0.2500 0.7500
0.2500 0.7500 0.2500
0.7500 0.2500 0.2500
0.7500 0.7500 0.7500

=====

(7)
PmPr2Sb3Pt4, relaxed, DFT PBE; E_form (uncorrected) = -0.923 eV per atom
1.0
4.5790 0.0000 0.0000
0.0000 4.5790 0.0000
0.0000 0.0000 11.4790
Pm Pr Sb Pt
1 2 3 4
Direct
0.0000 0.0000 0.0000
0.0000 0.5000 0.7105
0.5000 0.0000 0.2895
0.0000 0.5000 0.3725
0.5000 0.0000 0.6275
0.5000 0.5000 0.0000
0.0000 0.0000 0.5000
0.0000 0.5000 0.1472
0.5000 0.0000 0.8528
0.5000 0.5000 0.5000

=====

(8)
PmPrSi2Pt2, relaxed, DFT PBE; E_form (uncorrected) = -1.114 eV per atom
1.0
4.1835 0.0000 0.0000
-2.0917 3.6230 0.0000
0.0000 0.0000 8.5511
Pm Pr Si Pt
1 1 2 2
Direct
0.0000 0.0000 0.0000
0.0000 0.0000 0.5000
0.3333 0.6667 0.2478
0.6667 0.3333 0.7522
0.3333 0.6667 0.7555
0.6667 0.3333 0.2445

=====

(9)
PmPrSiPt, relaxed, DFT PBE; E_form (uncorrected) = -0.723 eV per atom
1.0
7.2843 0.0000 0.0000
0.0000 7.2843 0.0000
0.0000 0.0000 7.2843
Pm Pr Si Pt
4 4 4 4
Direct
0.0000 0.0000 0.0000
0.0000 0.5000 0.5000
0.5000 0.0000 0.5000
0.5000 0.5000 0.0000
0.0000 0.0000 0.5000
0.0000 0.5000 0.0000
0.5000 0.0000 0.0000
0.5000 0.5000 0.5000
0.2500 0.2500 0.7500
0.2500 0.7500 0.2500
0.7500 0.2500 0.2500
0.7500 0.7500 0.7500
0.2500 0.2500 0.2500
0.2500 0.7500 0.7500
0.7500 0.2500 0.7500
0.7500 0.7500 0.2500

=====

(10)
PmPrSi2Pt5, relaxed, DFT PBE; E_form (uncorrected) = -1.023 eV per atom
1.0
4.2773 0.0000 0.0000
0.0000 4.2773 0.0000
0.0000 0.0000 9.0298
Pm Pr Si Pt
1 1 2 5
Direct
0.0000 0.0000 0.0000
0.0000 0.0000 0.5000
0.5000 0.5000 0.1339
0.5000 0.5000 0.8661
0.0000 0.5000 0.2610
0.0000 0.5000 0.7390
0.5000 0.0000 0.2610
0.5000 0.0000 0.7390
0.5000 0.5000 0.5000

=====

(11)
PmPrSiPt, relaxed, DFT PBE; E_form (uncorrected) = -0.929 eV per atom
1.0
4.2352 0.0000 0.0000
0.0000 4.1884 0.0000
0.0000 0.0000 11.0930
Pm Pr Si Pt
2 2 2 2
Direct
0.0000 0.0000 0.0000
0.0000 0.5000 0.5000
0.5000 0.0000 0.7198
0.5000 0.5000 0.2198
0.0000 0.0000 0.2927
0.0000 0.5000 0.7927
0.5000 0.0000 0.4381
0.5000 0.5000 0.9381

=====

(12)
PmPr2SmPt2, relaxed, DFT PBE; calculated formation energy = -0.750 eV/atom
1.0
-3.4801 7.1829 3.4773
3.4801 -7.1829 3.4773
3.4801 7.1829 -3.4773
Pm Pr Sm Pt
2 4 2 4
Direct
0.2500 0.2500 0.0000
0.7500 0.7500 0.0000
0.1924 0.7178 0.9102
0.3076 0.2178 0.5255
0.6924 0.7822 0.4745
0.8076 0.2822 0.0898
0.2500 0.7500 0.5000
0.7500 0.2500 0.5000
0.1111 0.2602 0.3713
0.3889 0.7602 0.1491
0.6111 0.2398 0.8509
0.8889 0.7398 0.6287